(1)
TlCrB2: relaxed, GGA-PBE.

Values from the calculation:
M_tot in μB/cell: 0.00
Distance to the lowest polymorph of the same formula in meV per atom: 488.5
Energy relative to the elements in eV per atom: 1.68
Final energy in eV/atom: -4.65

a = 4.0951 Å, b = 4.0951 Å, c = 4.0951 Å
α = 60.00°, β = 60.00°, γ = 60.00°
Closest atoms and distances in Å follow each position.
Sites, in units of the cell vectors:
1 B 0.7500 0.7500 0.7500  4 Cr 2.51, 4 Tl 2.51
2 B 0.2500 0.2500 0.2500  4 Tl 2.51, 4 Cr 2.51
3 Tl 0.5000 0.5000 0.5000  8 B 2.51
4 Cr 0.0000 0.0000 0.0000  8 B 2.51

(2)
Pr2NiPt: relaxed, GGA-PBE.

Values from the calculation:
M_tot in μB/cell: 0.00
Energy relative to the elements in eV per atom: -0.71
Final energy in eV/atom: -6.06

a = 4.4437 Å, b = 5.7603 Å, c = 7.9430 Å
α = 110.11°, β = 90.00°, γ = 90.00°
Closest atoms and distances in Å follow each position.
Sites, in units of the cell vectors:
1 Pr 0.2500 0.7785 0.0680  4 Ni 3.04-3.07, 3 Pt 3.05-3.07
2 Pr 0.7500 0.2215 0.9320  4 Ni 3.04-3.07, 3 Pt 3.05-3.07
3 Pt 0.2500 0.3433 0.7119  2 Ni 2.79, 7 Pr 3.05-3.07
4 Pt 0.7500 0.6567 0.2881  2 Ni 2.79, 7 Pr 3.05-3.07
5 Pr 0.7500 0.2246 0.4300  3 Ni 3.05-3.07, 4 Pt 3.06-3.07
6 Ni 0.2500 0.3461 0.2103  2 Pt 2.79, 7 Pr 3.04-3.07
7 Ni 0.7500 0.6540 0.7897  2 Pt 2.79, 7 Pr 3.04-3.07
8 Pr 0.2500 0.7754 0.5700  3 Ni 3.05-3.07, 4 Pt 3.06-3.07